Density functional theory data (PBE+U) for a geometry-optimized Li8MnO5F structure.

Computed properties:
Calculated total energy (eV/atom): -5.239
Volume (Å³/f.u.): 134.91
Total magnetization (μB/atom): 0.2667

Cell lengths 5.3544, 5.3646, 5.8543 Å; angles 90.78, 115.54, 114.00 degrees
Closest atoms and distances in Å follow each position.
Space group P1 (No. 1)
Unique sites:
1 Li 0.0000 0.0000 0.0000 x1  4 O 2.07-2.28, 1 F 2.22
2 Li 0.0333 0.1511 0.6379 x1  3 O 1.89-1.95, 1 F 1.94
3 Li 0.1790 0.4271 0.3555 x1  3 O 1.91-1.97, 1 F 1.91
4 Li 0.4062 0.8628 0.6399 x1  4 O 1.93-2.13
5 Li 0.5274 0.1098 0.3506 x1  3 O 1.92-2.04, 1 F 1.95
6 Li 0.5826 0.2959 0.9545 x1  3 O 1.99-2.15
7 Li 0.6876 0.5243 0.6343 x1  4 O 1.92-2.14
8 Li 0.8620 0.7279 0.3348 x1  3 O 1.91-2.10, 1 F 1.98
9 Mn 0.2374 0.6012 0.9656 x1  4 O 1.97-2.01
10 O 0.0991 0.8420 0.7423 x1  5 Li 1.89-2.10, 1 Mn 1.98
11 O 0.1580 0.7465 0.2266 x1  5 Li 1.91-2.13, 1 Mn 1.98
12 O 0.3905 0.5171 0.7388 x1  5 Li 1.92-1.99, 1 Mn 1.97
13 O 0.4473 0.4110 0.2191 x1  5 Li 1.92-2.15, 1 Mn 2.01
14 O 0.7743 0.2144 0.7478 x1  5 Li 1.90-2.04
15 F 0.8231 0.0730 0.2610 x1  4 Li 1.91-1.98